Entry 1:
Material: Th2Be3Ir4Rh
Method: DFT, PBE-GGA
State: optimized geometry

```
Th2Be3Ir4Rh
1.0
4.066 0.000 0.000
0.000 4.066 0.000
0.000 0.000 9.973
Th Be Ir Rh
2 3 4 1
direct
0.000 0.500 0.235
0.500 0.000 0.765
0.000 0.500 0.887
0.500 0.000 0.113
0.500 0.500 0.500
0.000 0.000 0.000
0.000 0.500 0.652
0.500 0.000 0.348
0.500 0.500 0.000
0.000 0.000 0.500
```

The formation energy from the elements is -625 meV/atom. As for the theoretical density: 13.7 Mg/m³. The density of states at the Fermi level comes out at 0.530 states/eV/atom.



Entry 2:
Material: ThBe2Ir2Rh
Method: DFT, PBE-GGA
State: optimized geometry

```
ThBe2Ir2Rh
1.0
-2.140 2.140 5.169
2.140 -2.140 5.169
2.140 2.140 -5.169
Th Be Ir Rh
1 2 2 1
direct
0.000 0.000 0.000
0.294 0.294 0.000
0.706 0.706 0.000
0.250 0.750 0.500
0.750 0.250 0.500
0.500 0.500 0.000
```

The formation energy from the elements is -453 meV/atom. As for the theoretical density: 12.9 Mg/m³. The density of states at the Fermi level comes out at 0.286 states/eV/atom.



Entry 3:
Material: YBeIrRh2
Method: DFT, PBE-GGA
State: optimized geometry

```
YBeIrRh2
1.0
4.259 0.000 0.000
0.000 4.259 0.000
0.000 0.000 4.277
Y Be Ir Rh
1 1 1 2
direct
0.000 0.000 0.000
0.500 0.500 0.500
0.500 0.500 0.000
0.000 0.500 0.500
0.500 0.000 0.500
```

The formation energy from the elements is -526 meV/atom. As for the theoretical density: 10.6 Mg/m³. The density of states at the Fermi level comes out at 0.584 states/eV/atom.



Entry 4:
Material: Be2ZnIrRh
Method: DFT, PBE-GGA
State: optimized geometry

```
Be2ZnIrRh
1.0
4.006 0.000 0.000
0.000 4.006 0.000
0.000 0.000 4.582
Be Zn Ir Rh
2 1 1 1
direct
0.000 0.500 0.000
0.500 0.000 0.000
0.000 0.000 0.500
0.500 0.500 0.500
0.000 0.000 0.000
```

The formation energy from the elements is 684 meV/atom. As for the theoretical density: 8.6 Mg/m³. The density of states at the Fermi level comes out at 0.187 states/eV/atom.



Entry 5:
Material: BeZnIr2Rh
Method: DFT, PBE-GGA
State: optimized geometry

```
BeZnIr2Rh
1.0
4.502 0.000 0.000
0.000 4.502 0.000
0.000 0.000 4.457
Be Zn Ir Rh
1 1 2 1
direct
0.000 0.000 0.000
0.500 0.500 0.500
0.000 0.500 0.500
0.500 0.000 0.500
0.500 0.500 0.000
```

The formation energy from the elements is 1585 meV/atom. As for the theoretical density: 10.3 Mg/m³. The density of states at the Fermi level comes out at 1.866 states/eV/atom.



Entry 6:
Material: ZrBeIrRh2
Method: DFT, PBE-GGA
State: optimized geometry

```
ZrBeIrRh2
1.0
4.170 0.000 0.000
0.000 4.170 0.000
0.000 0.000 4.213
Zr Be Ir Rh
1 1 1 2
direct
0.000 0.000 0.000
0.500 0.500 0.500
0.500 0.500 0.000
0.000 0.500 0.500
0.500 0.000 0.500
```

The formation energy from the elements is -542 meV/atom. As for the theoretical density: 11.3 Mg/m³. The density of states at the Fermi level comes out at 0.811 states/eV/atom.



Entry 7:
Material: BeIrRu2
Method: DFT, PBE-GGA
State: optimized geometry

```
BeIrRu2
1.0
1.347 0.778 8.287
-1.347 0.778 8.287
0.000 -1.556 8.287
Be Ir Ru
1 1 2
direct
0.000 0.000 0.000
0.500 0.500 0.500
0.257 0.257 0.257
0.743 0.743 0.743
```

The formation energy from the elements is 49 meV/atom. As for the theoretical density: 12.9 Mg/m³. The density of states at the Fermi level comes out at 0.871 states/eV/atom.



Entry 8:
Material: Be3IrRu
Method: DFT, PBE-GGA
State: optimized geometry

```
Be3IrRu
1.0
3.982 0.000 0.000
0.000 3.982 0.000
0.000 0.000 3.982
Be Ir Ru
3 1 1
direct
0.000 0.000 0.500
0.000 0.500 0.000
0.500 0.000 0.000
0.500 0.500 0.500
0.000 0.000 0.000
```

The formation energy from the elements is 776 meV/atom. For the energy above the most stable polymorph in this dataset, the calculation gives 145 meV per atom. As for the theoretical density: 8.4 Mg/m³. The density of states at the Fermi level comes out at 0.496 states/eV/atom.



Entry 9:
Material: BeIrRu2
Method: DFT, PBE-GGA
State: optimized geometry

```
BeIrRu2
1.0
2.713 0.000 0.000
0.000 3.884 0.000
-1.351 0.000 4.924
Be Ir Ru
1 1 2
direct
0.000 0.000 0.000
0.138 0.500 0.260
0.406 0.500 0.796
0.770 0.000 0.524
```

The formation energy from the elements is -73 meV/atom. As for the theoretical density: 12.9 Mg/m³. The density of states at the Fermi level comes out at 0.767 states/eV/atom.



Entry 10:
Material: Be4Ir3Ru
Method: DFT, PBE-GGA
State: optimized geometry

```
Be4Ir3Ru
1.0
2.803 0.000 0.000
0.000 2.803 0.000
0.000 0.000 11.208
Be Ir Ru
4 3 1
direct
0.000 0.000 0.125
0.000 0.000 0.371
0.000 0.000 0.629
0.000 0.000 0.875
0.500 0.500 0.000
0.500 0.500 0.251
0.500 0.500 0.749
0.500 0.500 0.500
```

The formation energy from the elements is -462 meV/atom. As for the theoretical density: 13.5 Mg/m³. The density of states at the Fermi level comes out at 0.829 states/eV/atom.



Entry 11:
Material: BeIrRu2
Method: DFT, PBE-GGA
State: optimized geometry

```
BeIrRu2
1.0
2.704 0.000 0.000
0.000 3.908 0.000
-1.103 0.000 4.901
Be Ir Ru
1 1 2
direct
0.000 0.000 0.000
0.000 0.000 0.500
0.376 0.500 0.230
0.624 0.500 0.770
```

The formation energy from the elements is -15 meV/atom. As for the theoretical density: 12.9 Mg/m³. The density of states at the Fermi level comes out at 0.894 states/eV/atom.



Entry 12:
Material: Be3IrRu
Method: DFT, PBE-GGA
State: optimized geometry

```
Be3IrRu
1.0
4.092 0.000 0.000
0.000 4.092 0.000
0.000 0.000 4.092
Be Ir Ru
3 1 1
direct
0.000 0.000 0.500
0.000 0.500 0.000
0.500 0.000 0.000
0.000 0.000 0.000
0.500 0.500 0.500
```

The formation energy from the elements is 630 meV/atom. For the energy above the most stable polymorph in this dataset, the calculation gives 0 meV per atom. As for the theoretical density: 7.8 Mg/m³. The density of states at the Fermi level comes out at 0.989 states/eV/atom.